PBEsol LiSi2OsBr, optimized geometry; ΔE_f (raw) = 38.73 kcal/mol of atoms; SG = P4/mmm (123)
1.0
5.007 0.000 0.000
0.000 5.007 0.000
0.000 0.000 4.556
Li Si Os Br
1 2 1 1
Cartesian
0.000 0.000 0.000
0.000 2.503 2.278
2.503 0.000 2.278
2.503 2.503 0.000
2.503 2.503 2.278